Record 1
The following is a PBE calculation of a geometry-optimized La2ZrBr structure, from the Alexandria database.

## Properties
polymorph energy (0 for the lowest one)	0.09	eV per formula unit
total magnetic moment	0.000	Bohr magnetons per cell
V	120.6	Å³ per cell
E_tot	-5.4592	eV/atom
ΔE_f (raw)	-440	meV/atom
DOS at the Fermi energy	4.87	states/eV/f.u.

abc: 10.658 10.658 10.658
angles: 19.73 19.73 19.73
Fractional coordinates of all 4 atoms:
La 0.247 0.247 0.247
La 0.753 0.753 0.753
Zr 0.000 0.000 0.000
Br 0.500 0.500 0.500

Record 2
The following is a PBE calculation of a geometry-optimized Re2IrRu structure, from the Alexandria database.

## Properties
energy of formation	-0.065	eV per atom
polymorph energy (0 for the lowest one)	0.58	eV per formula unit
total magnetic moment	0.000	Bohr magnetons per cell
V	232.8	Å³ per cell
E_tot	-10.8235	eV/atom
DOS at the Fermi energy	3.80	states/eV/f.u.

abc: 5.479 5.499 8.202
angles: 109.58 90.01 90.01
Fractional coordinates of all 16 atoms:
Re 0.123 0.314 0.378
Re 0.125 0.063 0.871
Re 0.371 0.187 0.625
Re 0.374 0.441 0.127
Re 0.626 0.559 0.873
Re 0.629 0.813 0.375
Re 0.875 0.937 0.129
Re 0.877 0.686 0.622
Ir 0.373 0.689 0.627
Ir 0.374 0.935 0.123
Ir 0.626 0.065 0.877
Ir 0.627 0.311 0.373
Ru 0.124 0.812 0.373
Ru 0.126 0.562 0.876
Ru 0.874 0.438 0.124
Ru 0.876 0.188 0.627

Record 3
The following is a PBE calculation of a geometry-optimized PmNdNiAs structure, from the Alexandria database.

## Properties
energy of formation	-0.587	eV per atom
total magnetic moment	0.629	Bohr magnetons per cell
V	92.0	Å³ per cell
E_tot	-5.5747	eV/atom
DOS at the Fermi energy	4.20	states/eV/f.u.

abc: 5.068 5.068 5.068
angles: 60.00 60.00 60.00
Fractional coordinates of all 4 atoms:
Pm 0.000 0.000 0.000
Nd 0.500 0.500 0.500
Ni 0.250 0.250 0.250
As 0.750 0.750 0.750